Record 1
A geometry-optimized LiPm2Ni4Ge3 structure. Source: the Alexandria database, functional PBE-GGA.

## Properties
Size of the total moment   0.00 μB per formula unit
Formation energy   -0.607 eV/atom

Geometry as extended XYZ:
```
10
Lattice="4.107 0.000 0.000 0.000 4.107 0.000 0.000 0.000 9.785" Properties=species:S:1:pos:R:3 pbc="T T T"
Li 2.054 2.054 4.893
Pm 2.054 0.000 2.433
Pm 0.000 2.054 7.353
Ni 2.054 2.054 0.000
Ni 0.000 0.000 0.000
Ni 2.054 0.000 6.155
Ni 0.000 2.054 3.630
Ge 0.000 0.000 4.893
Ge 2.054 0.000 8.523
Ge 0.000 2.054 1.263
```

Record 2
A geometry-optimized ZnAs2Se structure. Source: the Alexandria database, functional PBE-GGA.

## Properties
Size of the total moment   0.00 μB per formula unit
Uncorrected formation energy   0.142 eV per atom

Geometry as extended XYZ:
```
4
Lattice="6.682 0.116 0.007 4.555 4.890 -0.007 -5.622 -2.494 2.613" Properties=species:S:1:pos:R:3 pbc="T T T"
As 10.520 4.686 0.000
As 3.825 0.278 1.310
Se 6.335 2.822 0.000
Zn 1.791 2.233 1.303
```

Record 3
A geometry-optimized Y2HfTcMo structure. Source: the Alexandria database, functional PBE-GGA.

## Properties
Size of the total moment   2.89 μB per formula unit
Formation energy   1.507 eV/atom

Geometry as extended XYZ:
```
5
Lattice="-3.160 -1.845 -4.127 2.924 -3.474 -0.686 -2.846 -3.100 3.565" Properties=species:S:1:pos:R:3 pbc="T T T"
Y -1.423 -1.550 1.782
Y -1.580 -0.922 -2.063
Mo -1.541 -4.209 -0.624
Hf 0.000 0.000 0.000
Tc 1.462 -1.737 -0.343
```

Record 4
A geometry-optimized Li2Mg3Tl2 structure. Source: the Alexandria database, functional PBE-GGA.

## Properties
Size of the total moment   0.00 μB per formula unit
Formation energy   -0.117 eV/atom

Geometry as extended XYZ:
```
7
Lattice="-0.598 -3.072 -2.850 -0.638 -1.674 5.107 -5.980 5.867 -1.926" Properties=species:S:1:pos:R:3 pbc="T T T"
Li -1.581 -1.685 2.174
Li -5.635 2.806 -1.843
Mg 0.000 0.000 0.000
Mg -4.419 -0.239 1.204
Mg -2.797 1.359 -0.872
Tl -4.819 2.908 1.029
Tl -2.397 -1.787 -0.697
```

Record 5
A geometry-optimized Li8Ti7Nb6O30 structure. Source: the Alexandria database, functional PBE-GGA.

## Properties
Size of the total moment   3.40 μB per formula unit
Uncorrected formation energy   -2.581 eV per atom

Geometry as extended XYZ:
```
51
Lattice="5.194 0.000 0.000 -2.597 4.498 0.000 0.000 0.000 24.431" Properties=species:S:1:pos:R:3 pbc="T T T"
Li 0.000 2.999 22.522
Li 0.000 2.999 15.451
Li 0.000 2.999 8.876
Li 0.000 2.999 1.938
Li 0.000 0.000 5.030
Li 0.000 0.000 11.464
Li 2.597 1.499 19.359
Li 2.597 1.499 12.960
Ti 0.000 0.000 17.407
Ti 0.000 0.000 2.586
Ti 0.000 0.000 24.175
Ti 0.000 0.000 7.570
Ti 2.597 1.499 0.414
Ti 2.597 1.499 6.981
Ti 2.597 1.499 16.834
Nb 0.000 0.000 14.514
Nb 0.000 2.999 19.485
Nb 0.000 2.999 12.202
Nb 0.000 2.999 4.840
Nb 2.597 1.499 21.876
Nb 2.597 1.499 9.900
O 1.059 1.863 20.726
O 0.924 1.282 15.935
O 0.840 1.448 6.205
O -0.651 1.495 13.407
O 1.693 0.219 23.323
O 4.158 1.357 23.323
O -0.976 4.314 13.407
O 3.431 3.047 6.205
O 3.621 0.160 15.935
O -1.513 2.650 20.726
O 3.520 0.003 6.205
O 3.245 3.056 15.935
O 3.563 2.811 11.006
O 0.454 4.484 20.726
O 3.241 3.081 1.201
O 1.940 2.922 23.323
O -0.436 1.494 3.713
O 1.627 3.186 13.407
O 1.960 2.941 8.473
O 4.262 1.501 18.214
O 1.522 3.373 3.713
O 4.164 1.330 8.473
O 1.762 2.941 18.214
O 0.978 1.680 11.006
O 3.645 0.151 1.201
O 0.906 1.266 1.201
O 3.250 0.007 11.006
O 1.766 0.056 18.214
O 1.667 0.227 8.473
O -1.085 4.129 3.713
```

Record 6
A geometry-optimized Li15Mg2Pd2 structure. Source: the Alexandria database, functional PBE-GGA.

## Properties
Size of the total moment   0.00 μB per formula unit
Formation energy   -0.008 eV/atom

Geometry as extended XYZ:
```
19
Lattice="6.819 0.012 2.503 1.752 6.591 2.503 0.016 0.013 7.264" Properties=species:S:1:pos:R:3 pbc="T T T"
Li 0.876 3.295 1.252
Li 0.008 0.006 3.632
Li 3.410 0.006 1.252
Li 2.104 0.012 5.803
Li 5.264 2.032 2.503
Li 1.219 4.572 3.964
Li 3.307 4.572 2.503
Li 0.549 2.032 5.803
Li 4.731 0.012 3.964
Li 4.387 5.329 6.268
Li 3.742 2.883 8.039
Li 6.271 2.883 6.268
Li 4.200 1.287 6.002
Li 4.846 3.733 4.231
Li 2.316 3.733 6.002
Mg 7.697 5.930 10.998
Mg 0.890 0.686 1.272
Pd 6.163 4.748 8.806
Pd 2.425 1.868 3.465
```

Record 7
A geometry-optimized ErTa4Te8 structure. Source: the Alexandria database, functional PBE-GGA.

## Properties
Size of the total moment   0.00 μB per formula unit
Uncorrected formation energy   -0.344 eV per atom

Geometry as extended XYZ:
```
13
Lattice="-4.710 2.669 5.303 -2.158 -5.752 -4.437 6.652 -4.701 2.860" Properties=species:S:1:pos:R:3 pbc="T T T"
Er 2.247 -5.227 -0.789
Ta 0.000 0.000 0.000
Ta 0.863 -4.908 5.944
Ta -3.434 -1.542 0.433
Ta -2.355 1.334 2.651
Te -2.339 -4.105 -0.012
Te 2.123 -3.679 3.737
Te -1.205 -1.229 2.179
Te 4.520 -4.970 1.101
Te 0.989 -6.555 1.546
Te 3.410 -7.927 -1.180
Te -3.626 0.143 4.906
Te -4.736 -2.815 2.625
```

Record 8
A geometry-optimized NaZnIn3 structure. Source: the Alexandria database, functional PBE-GGA.

## Properties
Size of the total moment   0.00 μB per formula unit
Formation energy   0.146 eV/atom

Geometry as extended XYZ:
```
5
Lattice="-3.570 -0.156 3.951 0.268 -5.320 0.032 3.945 0.220 3.573" Properties=species:S:1:pos:R:3 pbc="T T T"
Na 0.321 -2.628 3.778
Zn 0.000 0.000 0.000
In 0.134 -2.660 0.016
In 1.972 0.110 1.787
In -1.785 -0.078 1.975
```

Record 9
A geometry-optimized SmPu2Cu9 structure. Source: the Alexandria database, functional PBE-GGA.

## Properties
Size of the total moment   11.63 μB per formula unit
Formation energy   -0.098 eV/atom

Geometry as extended XYZ:
```
12
Lattice="5.152 0.000 0.000 2.576 4.461 0.000 2.576 1.487 8.389" Properties=species:S:1:pos:R:3 pbc="T T T"
Sm 0.000 0.000 0.000
Pu 7.727 4.461 3.716
Pu 2.576 1.487 4.673
Cu 7.727 4.461 8.347
Cu 2.576 1.487 0.042
Cu 5.152 2.974 4.194
Cu 3.878 2.239 2.039
Cu 6.425 2.239 2.039
Cu 5.152 4.445 2.039
Cu 6.425 3.710 6.350
Cu 5.152 1.504 6.350
Cu 3.878 3.710 6.350
```

Record 10
A geometry-optimized LiGeSb structure. Source: the Alexandria database, functional PBE-GGA.

## Properties
Size of the total moment   0.00 μB per formula unit
Uncorrected formation energy   -0.102 eV per atom

Geometry as extended XYZ:
```
3
Lattice="-2.564 2.882 -2.301 -4.082 -1.248 -1.399 -3.665 1.763 1.908" Properties=species:S:1:pos:R:3 pbc="T T T"
Sb -5.155 1.698 -0.896
Ge 0.000 0.000 0.000
Li -2.578 0.849 -0.448
```

Record 11
A geometry-optimized Tb4Nb structure. Source: the Alexandria database, functional PBE-GGA.

## Properties
Size of the total moment   0.00 μB per formula unit
Formation energy   0.484 eV/atom

Geometry as extended XYZ:
```
5
Lattice="-1.317 -4.548 -2.771 -1.464 -2.435 4.693 -5.121 1.866 -0.629" Properties=species:S:1:pos:R:3 pbc="T T T"
Nb -3.951 -2.559 0.647
Tb 0.000 0.000 0.000
Tb -3.219 -1.341 -1.700
Tb -3.292 -0.285 2.032
Tb -1.390 -3.492 0.961
```

Record 12
A geometry-optimized Y2AlAu4 structure. Source: the Alexandria database, functional PBE-GGA.

## Properties
Size of the total moment   0.00 μB per formula unit
Formation energy   -0.729 eV/atom

Geometry as extended XYZ:
```
7
Lattice="0.006 -0.506 4.529 3.698 -1.546 2.168 5.249 6.620 5.292" Properties=species:S:1:pos:R:3 pbc="T T T"
Y 6.935 3.052 9.502
Y 2.018 1.516 2.488
Au 5.242 2.384 7.147
Au 3.711 2.184 4.842
Au 2.724 -0.648 4.546
Au 6.229 5.216 7.444
Al 0.000 0.000 0.000
```

Record 13
A geometry-optimized Li6Tl structure. Source: the Alexandria database, functional PBE-GGA.

## Properties
Size of the total moment   0.00 μB per formula unit
Formation energy   0.409 eV/atom

Geometry as extended XYZ:
```
7
Lattice="-2.608 -1.194 5.381 -1.310 -4.474 -3.931 6.045 0.376 0.710" Properties=species:S:1:pos:R:3 pbc="T T T"
Li 1.388 -3.466 -1.248
Li -0.776 -3.858 -0.080
Li 3.226 -2.253 -0.088
Li 0.739 -1.826 3.408
Li 2.902 -1.433 2.240
Li -1.100 -3.038 2.248
Tl 0.000 0.000 0.000
```

Record 14
A geometry-optimized ZrCu2HgRh structure. Source: the Alexandria database, functional PBE-GGA.

## Properties
Size of the total moment   0.00 μB per formula unit
Formation energy   1.569 eV/atom

Geometry as extended XYZ:
```
5
Lattice="4.779 0.000 0.000 0.000 5.373 0.000 0.000 0.000 4.779" Properties=species:S:1:pos:R:3 pbc="T T T"
Cu 0.000 0.000 2.389
Cu 2.389 0.000 0.000
Rh 2.389 2.687 2.389
Hg 0.000 2.687 0.000
Zr 0.000 0.000 0.000
```

Record 15
A geometry-optimized KNbOsO2 structure. Source: the Alexandria database, functional PBE-GGA.

## Properties
Size of the total moment   2.04 μB per formula unit
Uncorrected formation energy   -0.291 eV per atom

Geometry as extended XYZ:
```
5
Lattice="4.134 0.000 0.000 0.000 5.203 0.000 0.000 0.000 4.134" Properties=species:S:1:pos:R:3 pbc="T T T"
Nb 0.000 0.000 0.000
Os 0.000 2.601 0.000
K 2.067 2.601 2.067
O 0.000 0.000 2.067
O 2.067 0.000 0.000
```

Record 16
A geometry-optimized Pr7ZnSe5 structure. Source: the Alexandria database, functional PBE-GGA.

## Properties
Size of the total moment   0.00 μB per formula unit
Uncorrected formation energy   -1.445 eV per atom

Geometry as extended XYZ:
```
26
Lattice="-3.484 2.245 -0.741 -0.218 -1.965 7.033 12.410 21.354 6.340" Properties=species:S:1:pos:R:3 pbc="T T T"
Pr 1.270 4.549 7.810
Pr 7.435 17.083 4.829
Pr -1.829 1.673 1.705
Pr 10.533 19.959 10.935
Pr 5.240 10.851 8.231
Pr 3.465 10.782 4.407
Pr 1.463 3.488 3.689
Pr 7.242 18.143 8.952
Pr 5.466 15.090 8.048
Pr 3.240 6.544 4.589
Pr -2.021 2.745 5.855
Pr 10.724 18.884 6.785
Pr 7.222 12.860 4.998
Pr 1.483 8.773 7.640
Zn 0.171 5.954 5.268
Zn 8.536 15.681 7.370
Se 12.408 21.352 6.344
Se 8.898 20.563 8.495
Se -0.193 1.068 4.145
Se 2.474 8.644 2.593
Se 6.232 12.989 10.044
Se 6.204 10.677 3.173
Se 4.228 8.676 6.401
Se 4.478 12.957 6.237
Se 8.874 17.533 11.391
Se -0.169 4.099 1.249
```

Record 17
A geometry-optimized Hf3HgC structure. Source: the Alexandria database, functional PBE-GGA.

## Properties
Size of the total moment   0.00 μB per formula unit
Formation energy   0.656 eV/atom

Geometry as extended XYZ:
```
5
Lattice="4.280 0.000 0.000 0.000 4.280 0.000 0.000 0.000 7.228" Properties=species:S:1:pos:R:3 pbc="T T T"
C 2.140 2.140 3.713
Hf 0.000 0.000 5.311
Hf 2.140 0.000 3.196
Hf 0.000 2.140 3.196
Hg 0.000 0.000 0.948
```

Record 18
A geometry-optimized Ho8Te4As3H structure. Source: the Alexandria database, functional PBE-GGA.

## Properties
Size of the total moment   0.00 μB per formula unit
Uncorrected energy   -86.25 eV per cell

Geometry as extended XYZ:
```
16
Lattice="-0.731 -4.394 6.942 6.038 -5.284 -2.709 1.610 8.080 0.385" Properties=species:S:1:pos:R:3 pbc="T T T"
Ho 5.729 3.084 0.083
Ho 4.918 -0.993 -0.111
Ho 2.371 1.573 1.246
Ho 5.360 0.866 3.586
Ho 1.557 -2.464 1.031
Ho 4.546 -3.171 3.372
Ho 1.999 -0.605 4.728
Ho 1.188 -4.682 4.534
Te -0.366 -2.197 3.471
Te 0.440 1.843 3.663
Te 0.000 0.000 0.000
Te 0.805 4.040 0.192
As 2.653 -4.839 2.116
As 3.458 -0.799 2.309
As 3.824 1.398 -1.162
H 3.019 -2.642 -1.354
```

Record 19
A geometry-optimized Pu2AuI structure. Source: the Alexandria database, functional PBE-GGA.

## Properties
Size of the total moment   11.99 μB per formula unit
Uncorrected formation energy   -0.403 eV per atom

Geometry as extended XYZ:
```
4
Lattice="-3.659 -0.722 2.013 -2.003 -3.701 -0.507 2.128 -4.497 6.713" Properties=species:S:1:pos:R:3 pbc="T T T"
I -1.767 -4.460 4.110
Au 0.000 0.000 0.000
Pu -1.041 -2.112 1.812
Pu -2.493 -6.809 6.408
```

Record 20
A geometry-optimized MnIr3Ru4 structure. Source: the Alexandria database, functional PBE-GGA.

## Properties
Size of the total moment   1.31 μB per formula unit
Formation energy   -0.077 eV/atom

Geometry as extended XYZ:
```
16
Lattice="-2.079 -2.384 3.503 -3.198 -2.523 -3.615 5.866 -6.290 -0.799" Properties=species:S:1:pos:R:3 pbc="T T T"
Ru -1.140 -1.165 0.797
Ru -2.738 -2.426 -0.999
Ru 1.009 -1.936 -0.585
Ru -2.400 -5.024 -1.531
Ru -0.055 -6.141 1.245
Ru -1.646 -7.395 -0.563
Ru 0.519 -8.154 -1.928
Ru 3.956 -5.096 -0.987
Mn -2.974 -2.983 1.649
Mn 0.189 -5.575 -1.417
Ir -4.581 -4.249 -0.178
Ir -0.574 -3.202 -2.366
Ir -0.830 -3.774 0.272
Ir 1.803 -4.300 0.397
Ir 2.104 -6.920 -0.127
Ir 2.358 -6.346 -2.766
```

Record 21
A geometry-optimized GdLuPdPt structure. Source: the Alexandria database, functional PBE-GGA.

## Properties
Size of the total moment   7.20 μB per formula unit
Formation energy   -1.072 eV/atom

Geometry as extended XYZ:
```
4
Lattice="-3.520 -3.230 1.201 1.146 -4.057 2.549 -1.434 -0.449 4.691" Properties=species:S:1:pos:R:3 pbc="T T T"
Gd -0.952 -1.934 2.110
Lu -2.856 -5.802 6.331
Pd 0.000 0.000 0.000
Pt -1.904 -3.868 4.221
```